# Na7W8O24 PBE+U optimized geometry
# Final energy (eV/atom): -6.764
data_Na7W8O24
_chemical_formula_sum 'Na14 W16 O48'
_cell_length_a 15.881
_cell_length_b 7.848
_cell_length_c 8.909
_cell_angle_alpha 90.00
_cell_angle_beta 116.81
_cell_angle_gamma 90.00
_space_group_name_H-M_alt 'C 1 2/m 1'
_space_group_IT_number 12
loop_
_space_group_symop_operation_xyz
'x,y,z'
'-x,-y,-z'
'-x,y,-z'
'x,-y,z'
'x+1/2,y+1/2,z'
'-x+1/2,-y+1/2,-z'
'-x+1/2,y+1/2,-z'
'x+1/2,-y+1/2,z'
loop_
_atom_site_label
_atom_site_fract_x
_atom_site_fract_y
_atom_site_fract_z
Na1 0.000 0.000 0.000
Na2 0.127 0.000 0.500
Na3 0.127 0.500 0.501
Na4 0.250 0.000 0.001
W1 0.062 0.251 0.750
W2 0.186 0.250 0.248
O1 0.000 0.276 0.500
O2 0.057 0.000 0.723
O3 0.061 0.247 0.256
O4 0.069 0.500 0.768
O5 0.125 0.227 0.993
O6 0.185 0.250 0.748
O7 0.186 0.500 0.239
O8 0.188 0.000 0.255
O9 0.250 0.250 0.500